Entry 1:
The following is a GGA-PBE calculation of an optimized crystal structure of BaAcLa, from the Alexandria database.

Computed properties:
energy above the lowest structure with this stoichiometry	0.000	eV/atom
ΔH_f (0 K)	0.0539	eV per atom
total magnetic moment	0.000	μB per atom
E	-3.60	eV/atom
N(E_F)	1.7376	states/eV/atom

Cell lengths 4.0142, 4.0142, 17.3615 Å; angles 90.00, 90.00, 90.00 degrees
With the nearest neighbours (Å) after each atom.
Fractional positions:
Ba: 0.2500 0.2500 0.1023  4 Ba 4.01, 4 Ac 4.23
Ba: 0.7500 0.7500 0.8977  4 Ba 4.01, 4 Ac 4.23
Ac: 0.2500 0.2500 0.7173  4 La 3.81, 4 Ac 4.01, 4 Ba 4.23
Ac: 0.7500 0.7500 0.2827  4 La 3.81, 4 Ac 4.01, 4 Ba 4.23
La: 0.2500 0.2500 0.4293  8 La 3.75-4.01, 4 Ac 3.81
La: 0.7500 0.7500 0.5707  8 La 3.75-4.01, 4 Ac 3.81

***

Entry 2:
The following is a GGA-PBE calculation of an optimized crystal structure of BaAcLa, from the Alexandria database.

Computed properties:
energy above the lowest structure with this stoichiometry	0.039	eV/atom
ΔH_f (0 K)	0.0933	eV per atom
total magnetic moment	0.000	μB per atom
E	-3.56	eV/atom
N(E_F)	1.5684	states/eV/atom

Cell lengths 4.0006, 4.0006, 9.9647 Å; angles 90.00, 90.00, 120.00 degrees
With the nearest neighbours (Å) after each atom.
Fractional positions:
Ba: 0.0000 0.0000 0.0000  6 Ba 4.00, 3 La 4.14, 3 Ac 4.22
Ac: 0.3333 0.6667 0.6450  3 La 3.78, 6 Ac 4.00, 3 Ba 4.22
La: 0.6667 0.3333 0.3449  3 Ac 3.78, 6 La 4.00, 3 Ba 4.14

***

Entry 3:
The following is a GGA-PBE calculation of an optimized crystal structure of Ba2AcLa, from the Alexandria database.

Computed properties:
ΔH_f (0 K)	0.2634	eV per atom
total magnetic moment	0.013	μB per atom
E	-2.96	eV/atom
N(E_F)	1.9329	states/eV/atom

Cell lengths 14.5438, 14.5438, 14.5438 Å; angles 15.66, 15.66, 15.66 degrees
With the nearest neighbours (Å) after each atom.
Fractional positions:
Ba: 0.0862 0.0862 0.0862  1 La 3.72, 6 Ba 3.96, 3 Ac 4.15
Ba: 0.9138 0.9138 0.9138  1 La 3.72, 6 Ba 3.96, 3 Ac 4.15
Ac: 0.5000 0.5000 0.5000  6 Ac 3.96, 6 Ba 4.15
La: 0.0000 0.0000 0.0000  2 Ba 3.72, 6 La 3.96

***

Entry 4:
The following is a GGA-PBE calculation of an optimized crystal structure of BaAc6La2, from the Alexandria database.

Computed properties:
ΔH_f (0 K)	0.4471	eV per atom
total magnetic moment	0.000	μB per atom
E	-3.60	eV/atom
N(E_F)	1.7487	states/eV/atom

Cell lengths 6.6266, 6.6266, 12.8711 Å; angles 90.00, 90.00, 120.00 degrees
With the nearest neighbours (Å) after each atom.
Fractional positions:
Ba: 0.0000 0.0000 0.0000  6 Ac 4.11
Ac: 0.0000 0.3336 0.2695  2 La 3.70, 6 Ac 3.82-3.83, 1 Ba 4.11
Ac: 0.0000 0.6664 0.7305  2 La 3.70, 6 Ac 3.82-3.83, 1 Ba 4.11
Ac: 0.3336 0.0000 0.2695  2 La 3.70, 6 Ac 3.82-3.83, 1 Ba 4.11
Ac: 0.3336 0.3336 0.7305  2 La 3.70, 6 Ac 3.82-3.83, 1 Ba 4.11
Ac: 0.6664 0.0000 0.7305  2 La 3.70, 6 Ac 3.82-3.83, 1 Ba 4.11
Ac: 0.6664 0.6664 0.2695  2 La 3.70, 6 Ac 3.82-3.83, 1 Ba 4.11
La: 0.3333 0.6667 0.5000  6 Ac 3.70, 3 La 3.83
La: 0.6667 0.3333 0.5000  6 Ac 3.70, 3 La 3.83

***

Entry 5:
The following is a GGA-PBE calculation of an optimized crystal structure of BaAc14La, from the Alexandria database.

Computed properties:
ΔH_f (0 K)	0.0353	eV per atom
total magnetic moment	0.000	μB per atom
E	-3.99	eV/atom
N(E_F)	1.9875	states/eV/atom

Cell lengths 11.3212, 8.0116, 8.0116 Å; angles 90.04, 90.00, 90.00 degrees
With the nearest neighbours (Å) after each atom.
Fractional positions:
Ba: 0.0000 0.0000 0.0000  12 Ac 4.00-4.07
Ac: 0.0000 0.5001 0.9994  2 Ba 4.00-4.01, 2 La 4.01, 8 Ac 4.02
Ac: 0.0000 0.9994 0.5001  2 Ba 4.00-4.01, 2 La 4.01, 8 Ac 4.02
Ac: 0.2519 0.2549 0.2549  10 Ac 3.92-4.09, 1 La 3.98, 1 Ba 4.06
Ac: 0.2520 0.2549 0.7445  10 Ac 3.92-4.09, 1 La 3.98, 1 Ba 4.06
Ac: 0.2520 0.7445 0.2549  10 Ac 3.92-4.09, 1 La 3.98, 1 Ba 4.06
Ac: 0.2522 0.7445 0.7445  10 Ac 3.92-4.09, 1 La 3.98, 1 Ba 4.07
Ac: 0.5000 0.0001 0.4992  12 Ac 3.99-4.01
Ac: 0.5000 0.4992 0.0001  12 Ac 3.99-4.01
Ac: 0.5000 0.5000 0.5000  12 Ac 3.94-4.01
Ac: 0.5000 0.9994 0.9994  12 Ac 4.00-4.03
Ac: 0.7481 0.2549 0.2549  10 Ac 3.92-4.09, 1 La 3.98, 1 Ba 4.06
Ac: 0.7480 0.2549 0.7445  10 Ac 3.92-4.09, 1 La 3.98, 1 Ba 4.06
Ac: 0.7480 0.7445 0.2549  10 Ac 3.92-4.09, 1 La 3.98, 1 Ba 4.06
Ac: 0.7478 0.7445 0.7445  10 Ac 3.92-4.09, 1 La 3.98, 1 Ba 4.07
La: 0.0000 0.4994 0.4994  12 Ac 3.98-4.01

***

Entry 6:
The following is a GGA-PBE calculation of an optimized crystal structure of BaAc3La, from the Alexandria database.

Computed properties:
ΔH_f (0 K)	0.0890	eV per atom
total magnetic moment	0.000	μB per atom
E	-3.75	eV/atom
N(E_F)	1.9110	states/eV/atom

Cell lengths 8.9383, 5.6798, 8.9519 Å; angles 90.00, 90.28, 90.00 degrees
With the nearest neighbours (Å) after each atom.
Fractional positions:
Ba: 0.2481 0.2500 0.2551  3 La 3.94-4.03, 9 Ac 3.97-4.09
Ba: 0.7519 0.7500 0.7449  3 La 3.94-4.03, 9 Ac 3.97-4.09
Ac: 0.1493 0.7500 0.9443  6 Ac 3.88-4.11, 3 La 3.95-4.07, 3 Ba 3.97-4.07
Ac: 0.3408 0.7500 0.5568  6 Ac 3.88-4.15, 3 La 3.90-4.00, 3 Ba 4.00-4.03
Ac: 0.4402 0.2500 0.8480  1 La 3.85, 8 Ac 3.95-4.13, 3 Ba 4.04-4.09
Ac: 0.5598 0.7500 0.1520  1 La 3.85, 8 Ac 3.95-4.13, 3 Ba 4.04-4.09
Ac: 0.6592 0.2500 0.4432  6 Ac 3.88-4.15, 3 La 3.90-4.00, 3 Ba 4.00-4.03
Ac: 0.8507 0.2500 0.0557  6 Ac 3.88-4.11, 3 La 3.95-4.07, 3 Ba 3.97-4.07
La: 0.0566 0.2500 0.6509  7 Ac 3.85-4.07, 3 Ba 3.94-4.03, 2 La 4.05
La: 0.9434 0.7500 0.3491  7 Ac 3.85-4.07, 3 Ba 3.94-4.03, 2 La 4.05

***

Entry 7:
The following is a GGA-PBE calculation of an optimized crystal structure of BaAcLa, from the Alexandria database.

Computed properties:
energy above the lowest structure with this stoichiometry	0.020	eV/atom
ΔH_f (0 K)	0.0738	eV per atom
total magnetic moment	0.000	μB per atom
E	-3.58	eV/atom
N(E_F)	1.6561	states/eV/atom

Cell lengths 4.0249, 5.3882, 12.8804 Å; angles 90.00, 90.02, 90.00 degrees
With the nearest neighbours (Å) after each atom.
Fractional positions:
Ba: 0.2474 0.2500 0.3984  6 Ba 4.02-4.27, 4 Ac 4.09, 1 La 4.22
Ba: 0.7526 0.7500 0.6016  6 Ba 4.02-4.27, 4 Ac 4.09, 1 La 4.22
Ac: 0.2524 0.2500 0.7826  5 La 3.71-3.86, 2 Ac 4.02, 4 Ba 4.09
Ac: 0.7476 0.7500 0.2174  5 La 3.71-3.86, 2 Ac 4.02, 4 Ba 4.09
La: 0.2495 0.2500 0.0707  5 Ac 3.71-3.86, 6 La 3.82-4.02
La: 0.7505 0.7500 0.9293  5 Ac 3.71-3.86, 6 La 3.82-4.02

***

Entry 8:
The following is a GGA-PBE calculation of an optimized crystal structure of Ba2Ac4La, from the Alexandria database.

Computed properties:
ΔH_f (0 K)	0.0582	eV per atom
total magnetic moment	0.000	μB per atom
E	-3.54	eV/atom
N(E_F)	1.5151	states/eV/atom

Cell lengths 20.9293, 20.9293, 3.9916 Å; angles 90.00, 90.00, 168.92 degrees
With the nearest neighbours (Å) after each atom.
Fractional positions:
Ba: 0.2046 0.7954 0.0000  6 Ba 3.99-4.29, 4 Ac 4.26
Ba: 0.7954 0.2046 0.0000  6 Ba 3.99-4.29, 4 Ac 4.26
Ac: 0.0632 0.9368 0.0000  4 La 3.87, 8 Ac 3.93-4.04
Ac: 0.3716 0.6284 0.5000  8 Ac 3.93-4.04, 4 Ba 4.26
Ac: 0.6284 0.3716 0.5000  8 Ac 3.93-4.04, 4 Ba 4.26
Ac: 0.9368 0.0632 0.0000  4 La 3.87, 8 Ac 3.93-4.04
La: 0.5000 0.5000 0.5000  8 Ac 3.87, 4 La 3.99-4.04

***

Entry 9:
The following is a GGA-PBE calculation of an optimized crystal structure of BaAc2La2, from the Alexandria database.

Computed properties:
ΔH_f (0 K)	0.0637	eV per atom
total magnetic moment	0.000	μB per atom
E	-3.94	eV/atom
N(E_F)	1.5428	states/eV/atom

Cell lengths 6.0244, 3.9083, 9.9446 Å; angles 90.00, 107.68, 90.00 degrees
With the nearest neighbours (Å) after each atom.
Fractional positions:
Ba: 0.0000 0.0000 0.0000  2 La 3.89, 2 Ba 3.91, 8 Ac 4.25
Ac: 0.3803 0.5000 0.7605  6 La 3.85-3.94, 2 Ac 3.91, 4 Ba 4.25
Ac: 0.6197 0.5000 0.2395  6 La 3.85-3.94, 2 Ac 3.91, 4 Ba 4.25
La: 0.2051 0.0000 0.4102  2 La 3.46, 2 Ac 3.85
La: 0.7949 0.0000 0.5898  2 La 3.46, 2 Ac 3.85

***

Entry 10:
The following is a GGA-PBE calculation of an optimized crystal structure of BaAcLa, from the Alexandria database.

Computed properties:
energy above the lowest structure with this stoichiometry	0.024	eV/atom
ΔH_f (0 K)	0.0783	eV per atom
total magnetic moment	0.000	μB per atom
E	-3.57	eV/atom
N(E_F)	1.4381	states/eV/atom

Cell lengths 9.2118, 9.2118, 9.2118 Å; angles 155.03, 155.03, 35.61 degrees
With the nearest neighbours (Å) after each atom.
Fractional positions:
Ba: 0.0000 0.0000 0.0000  4 Ba 3.98, 4 La 4.19, 4 Ac 4.26
Ac: 0.3177 0.3177 0.0000  4 La 3.74, 4 Ac 3.98
La: 0.6770 0.6770 0.0000  4 Ac 3.74, 4 La 3.98, 4 Ba 4.19